[1]
Entry from the Alexandria database: BeHg after structural relaxation (PBE).

The calculation puts the energy above the most stable polymorph in this dataset at 69 kJ/mol of formula units. As for the formation energy: 0.652 eV per atom.

The space group is I4_1/amd (No. 141, origin choice 2) and the conventional cell measures 3.828, 3.828 and 8.764 Å, with angles of 90.00, 90.00 and 90.00 degrees. The asymmetric unit holds Be at (0.000, 0.250, 0.375) and Hg at (0.000, 0.250, 0.875).

---

[2]
Entry from the Alexandria database: Y3Ag4 after structural relaxation (PBE).

The calculation puts the energy above the most stable polymorph in this dataset at 279 kJ/mol of formula units. As for the formation energy: 0.155 eV per atom.

The space group is P6/mmm (No. 191) and the conventional cell measures 6.4059, 6.4059 and 5.1284 Å, with angles of 90.00, 90.00 and 120.00 degrees. The asymmetric unit holds Y at (0.0000, 0.5000, 0.0000), Ag at (0.0000, 0.0000, 0.2510) and Ag at (0.3333, 0.6667, 0.5000).

---

[3]
Entry from the Alexandria database: CoAgPb2 after structural relaxation (PBE).

The calculation puts the energy above the most stable polymorph in this dataset at 123 kJ/mol of formula units. As for the formation energy: 0.643 eV per atom.

The space group is F-43m (No. 216) and the conventional cell measures 7.098, 7.098 and 7.098 Å, with angles of 90.00, 90.00 and 90.00 degrees. The asymmetric unit holds Co at (0.000, 0.000, 0.000), Ag at (0.250, 0.250, 0.750), Pb at (0.000, 0.000, 0.500) and Pb at (0.250, 0.250, 0.250).